Record 1
Be2Te2S | GGA-PBEsol | relaxed

Computed properties:
The energy relative to the elements, uncorrected is 0.442 eV per atom. As for the total DFT energy (no corrections): -34.46 eV/cell. As for the space-group type: P4/mbm (127).

Lattice parameters (Å, degrees): 7.0571 7.0571 3.4759 90.00 90.00 90.00
Atoms (fractional coordinates):
1 Be 0.1247 0.3753 0.0000
2 Be 0.3753 0.8753 0.0000
3 Be 0.6247 0.1247 0.0000
4 Be 0.8753 0.6247 0.0000
5 Te 0.1650 0.6650 0.5000
6 Te 0.3350 0.1650 0.5000
7 Te 0.6650 0.8350 0.5000
8 Te 0.8350 0.3350 0.5000
9 S 0.0000 0.0000 0.0000
10 S 0.5000 0.5000 0.0000


Record 2
BeTeS2 | GGA-PBEsol | relaxed

Computed properties:
The calculation puts the energy above the most stable polymorph in this dataset at 0 kJ/mol of formula units. The energy relative to the elements, uncorrected is -0.246 eV per atom. As for the total DFT energy (no corrections): -17.28 eV/cell. As for the space-group type: R-3m (166).

Lattice parameters (Å, degrees): 7.6710 7.6710 7.6710 25.51 25.51 25.51
Atoms (fractional coordinates):
1 Be 0.0000 0.0000 0.0000
2 Te 0.5000 0.5000 0.5000
3 S 0.3855 0.3855 0.3855
4 S 0.6145 0.6145 0.6145


Record 3
TiBeS3 | GGA-PBEsol | relaxed

Computed properties:
The energy relative to the elements, uncorrected is -0.106 eV per atom. As for the total DFT energy (no corrections): -26.01 eV/cell. As for the space-group type: Pm-3m (221).

Lattice parameters (Å, degrees): 4.2392 4.2392 4.2392 90.00 90.00 90.00
Atoms (fractional coordinates):
1 Ti 0.0000 0.0000 0.0000
2 Be 0.5000 0.5000 0.5000
3 S 0.0000 0.5000 0.5000
4 S 0.5000 0.0000 0.5000
5 S 0.5000 0.5000 0.0000


Record 4
Ti2BeS | GGA-PBEsol | relaxed

Computed properties:
The energy relative to the elements, uncorrected is 0.222 eV per atom. As for the total DFT energy (no corrections): -48.28 eV/cell. As for the space-group type: I-42d (122).

Lattice parameters (Å, degrees): 6.6266 6.6266 6.6266 133.77 133.77 67.45
Atoms (fractional coordinates):
1 Ti 0.1115 0.6250 0.9865
2 Ti 0.3750 0.3615 0.4865
3 Ti 0.6385 0.1250 0.0135
4 Ti 0.8750 0.8885 0.5135
5 Be 0.0000 0.0000 0.0000
6 Be 0.7500 0.2500 0.5000
7 S 0.2500 0.7500 0.5000
8 S 0.5000 0.5000 0.0000


Record 5
BeTl3S | GGA-PBEsol | relaxed

Computed properties:
The energy relative to the elements, uncorrected is 0.796 eV per atom. As for the total DFT energy (no corrections): -12.30 eV/cell. As for the space-group type: Pm-3m (221).

Lattice parameters (Å, degrees): 5.5131 5.5131 5.5131 90.00 90.00 90.00
Atoms (fractional coordinates):
1 Be 0.0000 0.0000 0.0000
2 Tl 0.0000 0.5000 0.5000
3 Tl 0.5000 0.0000 0.5000
4 Tl 0.5000 0.5000 0.0000
5 S 0.5000 0.5000 0.5000


Record 6
ZrBe2TlS | GGA-PBEsol | relaxed

Computed properties:
The energy relative to the elements, uncorrected is 0.685 eV per atom. As for the total DFT energy (no corrections): -20.68 eV/cell. As for the space-group type: P4/mmm (123).

Lattice parameters (Å, degrees): 4.9466 4.9466 4.8125 90.00 90.00 90.00
Atoms (fractional coordinates):
1 Zr 0.0000 0.0000 0.0000
2 Be 0.0000 0.5000 0.0000
3 Be 0.5000 0.0000 0.0000
4 Tl 0.5000 0.5000 0.5000
5 S 0.0000 0.0000 0.5000


Record 7
YBe3S | GGA-PBEsol | relaxed

Computed properties:
The energy relative to the elements, uncorrected is 2.108 eV per atom. As for the total DFT energy (no corrections): -12.67 eV/cell. As for the space-group type: Pm-3m (221).

Lattice parameters (Å, degrees): 4.9948 4.9948 4.9948 90.00 90.00 90.00
Atoms (fractional coordinates):
1 Y 0.0000 0.0000 0.0000
2 Be 0.0000 0.0000 0.5000
3 Be 0.0000 0.5000 0.0000
4 Be 0.5000 0.0000 0.0000
5 S 0.5000 0.5000 0.5000


Record 8
BeZnS2 | GGA-PBEsol | relaxed

Computed properties:
The calculation puts the energy above the most stable polymorph in this dataset at 15 kJ/mol of formula units. The energy relative to the elements, uncorrected is -0.902 eV per atom. As for the total DFT energy (no corrections): -17.96 eV/cell. As for the space-group type: R3m (160).

Lattice parameters (Å, degrees): 6.2757 6.2757 6.2757 33.39 33.39 33.39
Atoms (fractional coordinates):
1 Be 0.0000 0.0000 0.0000
2 Zn 0.4987 0.4987 0.4987
3 S 0.3690 0.3690 0.3690
4 S 0.8829 0.8829 0.8829


Question: Number 1 is which compound?
Answer: Be2Te2S


Question: The highest energy relative to the elements, uncorrected belongs to which entry?
Answer: YBe3S


Question: Look up the total DFT energy (no corrections) of the first one.
Answer: -34.46 eV/cell


Question: total DFT energy (no corrections) of number 2 (BeTeS2)?
Answer: -17.28 eV/cell